1.
Computed, not measured: a relaxed structure of Cs6ZnAu2 at the PBE-GGA level of DFT.

Geometry as POSCAR:
```
Cs6ZnAu2
1.0
-4.1514 7.4968 3.8808
-9.0945 -0.3646 2.3776
-2.4197 -0.2596 9.3148
Cs Zn Au
6 1 2
Direct
0.5645 0.2246 0.2606 Cs
0.2246 0.9504 0.2606 Cs
0.9504 0.5645 0.2606 Cs
0.4313 0.7326 0.7317 Cs
0.7326 0.1044 0.7317 Cs
0.1044 0.4313 0.7317 Cs
0.6424 0.6424 0.0727 Zn
0.1527 0.1527 0.5420 Au
0.5316 0.5316 0.4053 Au
```

Results
Space-group type: R3

***

2.
Computed, not measured: a relaxed structure of Cs2ZnAu2 at the PBE-GGA level of DFT.

Geometry as POSCAR:
```
Cs2ZnAu2
1.0
-5.6811 -5.7434 -0.6797
5.7007 -5.4006 -2.0146
0.6430 -1.2470 5.1622
Cs Zn Au
4 2 4
Direct
0.1731 0.6731 0.5000 Cs
0.6731 0.8269 0.5000 Cs
0.8269 0.3269 0.5000 Cs
0.3269 0.1731 0.5000 Cs
0.0000 0.0000 0.0000 Zn
0.5000 0.5000 0.0000 Zn
0.3701 0.8701 0.0000 Au
0.8701 0.6299 0.0000 Au
0.6299 0.1299 0.0000 Au
0.1299 0.3701 0.0000 Au
```

Results
Space-group type: P4/mbm

***

3.
Computed, not measured: a relaxed structure of CsZn3Au at the PBE-GGA level of DFT.

Geometry as POSCAR:
```
CsZn3Au
1.0
-2.2172 5.8234 -3.0114
-2.0161 -3.6306 -5.5364
-6.2383 -0.8964 2.8596
Cs Zn Au
1 3 1
Direct
0.0000 0.0000 0.0000 Cs
0.0000 0.5000 0.0000 Zn
0.0000 0.0000 0.5000 Zn
0.5000 0.0000 0.0000 Zn
0.5000 0.5000 0.5000 Au
```

Results
Space-group type: Pm-3m

***

4.
Computed, not measured: a relaxed structure of CsZn2Au at the PBE-GGA level of DFT.

Geometry as POSCAR:
```
CsZn2Au
1.0
4.5539 0.0000 0.0000
0.0000 8.0008 0.0000
0.0000 0.0000 6.8279
Cs Zn Au
2 4 2
Direct
0.0000 0.0000 0.4990 Cs
0.5000 0.5000 0.5010 Cs
0.0000 0.1686 0.9993 Zn
0.0000 0.8314 0.9993 Zn
0.5000 0.3314 0.0007 Zn
0.5000 0.6686 0.0007 Zn
0.0000 0.5000 0.0006 Au
0.5000 0.0000 0.9994 Au
```

Results
Space-group type: Pmmn

***

5.
Computed, not measured: a relaxed structure of CsZn2Au3 at the PBE-GGA level of DFT.

Geometry as POSCAR:
```
CsZn2Au3
1.0
-2.0029 -0.0010 5.3072
-6.6332 1.5866 -2.5030
0.7279 -7.2233 0.2734
Cs Zn Au
2 4 6
Direct
0.2500 0.3535 0.3535 Cs
0.7500 0.6465 0.6465 Cs
0.5000 0.8127 0.1873 Zn
0.0000 0.8127 0.1873 Zn
0.0000 0.1873 0.8127 Zn
0.5000 0.1873 0.8127 Zn
0.7500 0.4826 0.0567 Au
0.7500 0.0567 0.4826 Au
0.2500 0.5174 0.9433 Au
0.7500 0.0841 0.0841 Au
0.2500 0.9159 0.9159 Au
0.2500 0.9433 0.5174 Au
```

Results
Space-group type: Cmcm

***

6.
Computed, not measured: a relaxed structure of Cs12ZnAu5 at the PBE-GGA level of DFT.

Geometry as POSCAR:
```
Cs12ZnAu5
1.0
9.0387 0.0000 0.0035
4.5193 8.0429 0.0018
0.0002 0.0000 17.3634
Cs Zn Au
12 1 5
Direct
0.8361 0.0000 0.3839 Cs
0.1639 0.0000 0.6161 Cs
0.6441 0.0000 0.8817 Cs
0.3559 0.0000 0.1183 Cs
0.3485 0.6476 0.8821 Cs
0.0039 0.6476 0.1179 Cs
0.9961 0.3524 0.8821 Cs
0.6515 0.3524 0.1179 Cs
0.4976 0.3332 0.6135 Cs
0.8308 0.6668 0.6135 Cs
0.1692 0.3332 0.3866 Cs
0.5024 0.6668 0.3865 Cs
0.0000 0.0000 0.0000 Zn
0.5000 0.0000 0.5000 Au
0.1657 0.6687 0.5000 Au
0.8343 0.3313 0.5000 Au
0.6659 0.6682 0.0000 Au
0.3341 0.3318 0.0000 Au
```

Results
Space-group type: C2/m

***

7.
Computed, not measured: a relaxed structure of Cs2ZnAu at the PBE-GGA level of DFT.

Geometry as POSCAR:
```
Cs2ZnAu
1.0
-3.1673 -9.2293 1.9331
0.4849 -2.1960 -9.6897
2.6205 -6.9709 -3.3949
Cs Zn Au
4 2 2
Direct
0.6510 0.1250 0.2500 Cs
0.0990 0.6250 0.2500 Cs
0.3750 0.3490 0.7500 Cs
0.8750 0.9010 0.7500 Cs
0.5000 0.5000 0.0000 Zn
0.2500 0.7500 0.5000 Zn
0.0000 0.0000 0.0000 Au
0.7500 0.2500 0.5000 Au
```

Results
Space-group type: I-42d

***

8.
Computed, not measured: a relaxed structure of Cs2ZnAu at the PBE-GGA level of DFT.

Geometry as POSCAR:
```
Cs2ZnAu
1.0
4.8035 0.0000 0.0000
0.0000 5.5447 0.0000
0.0000 -2.7724 6.7190
Cs Zn Au
2 1 1
Direct
0.0000 0.9805 0.9609 Cs
0.5000 0.2694 0.5389 Cs
0.0000 0.6667 0.3334 Zn
0.5000 0.5826 0.1653 Au
```

Results
Space-group type: Amm2

***

Fermi-level density of states values (in states/eV/cell) by entry order: 4.76; 1.53; 0.00; 2.91; 2.61; 19.67; 7.54; 2.43.
Energy of formation from the pure elements values (in eV/atom) by entry order: -0.125; -0.104; 0.883; -0.188; -0.297; -0.159; 0.070; -0.158.